Entry a
Computed, not measured: a relaxed Rb3Sn4Bi4 crystal at the GGA-PBE level of DFT.

Geometry as POSCAR:
```
Rb3Sn4Bi4
1.0
5.543 0.000 -1.379
-1.016 7.230 -4.083
-0.439 0.785 10.068
Rb Sn Bi
3 4 4
direct
0.122 0.122 0.244
0.878 0.878 0.756
0.000 0.500 0.000
0.331 0.146 0.663
0.669 0.483 0.337
0.669 0.854 0.337
0.331 0.517 0.663
0.218 0.718 0.436
0.782 0.282 0.564
0.500 0.811 0.000
0.500 0.189 0.000
```

Calculated values
Space-group type: Immm, No. 71

***

Entry b
Computed, not measured: a relaxed Rb3Sn4Bi4 crystal at the GGA-PBE level of DFT.

Geometry as POSCAR:
```
Rb3Sn4Bi4
1.0
-4.711 2.583 -1.245
-1.961 -4.693 -2.319
-2.352 -3.023 14.844
Rb Sn Bi
3 4 4
direct
0.357 0.857 0.713
0.643 0.143 0.287
0.000 0.000 0.000
0.801 0.301 0.602
0.452 0.452 0.904
0.548 0.548 0.096
0.199 0.699 0.398
0.250 0.250 0.500
0.094 0.594 0.187
0.906 0.406 0.813
0.750 0.750 0.500
```

Calculated values
Space-group type: Immm, No. 71

***

Q: Which of them is the least stable? A: entry b.

***

Entry a
Computed, not measured: a relaxed Rb2SrBi2 crystal at the GGA-PBE level of DFT.

Geometry as POSCAR:
```
Rb2SrBi2
1.0
10.444 0.000 0.000
0.000 10.444 0.000
0.000 0.000 3.844
Sr Bi Rb
2 4 4
direct
0.000 0.000 0.000
0.500 0.500 0.000
0.186 0.686 0.500
0.686 0.814 0.500
0.814 0.314 0.500
0.314 0.186 0.500
0.387 0.887 0.000
0.887 0.613 0.000
0.613 0.113 0.000
0.113 0.387 0.000
```

Calculated values
Space-group type: P4/mbm, No. 127

***

Entry b
Computed, not measured: a relaxed Rb2SrBi2 crystal at the GGA-PBE level of DFT.

Geometry as POSCAR:
```
Rb2SrBi2
1.0
-2.886 -4.045 -1.140
3.959 -2.153 -2.383
2.848 -6.762 5.388
Sr Bi Rb
1 2 2
direct
0.000 0.000 0.000
0.410 0.410 0.181
0.590 0.590 0.819
0.750 0.250 0.500
0.250 0.750 0.500
```

Calculated values
Space-group type: I4/mmm, No. 139

***

Entry c
Computed, not measured: a relaxed Rb2SrBi2 crystal at the GGA-PBE level of DFT.

Geometry as POSCAR:
```
Rb2SrBi2
1.0
-1.025 1.797 8.501
-3.867 -7.760 1.174
5.367 -2.497 1.175
Sr Bi Rb
2 4 4
direct
0.000 0.000 0.000
0.500 0.500 0.000
0.373 0.873 0.000
0.873 0.627 0.000
0.627 0.127 0.000
0.127 0.373 0.000
0.160 0.660 0.500
0.660 0.840 0.500
0.840 0.340 0.500
0.340 0.160 0.500
```

Calculated values
Space-group type: P4/mbm, No. 127

***

Q: Which of them is the least stable? A: entry a.

***

Entry a
Computed, not measured: a relaxed Rb3SrBi crystal at the GGA-PBE level of DFT.

Geometry as POSCAR:
```
Rb3SrBi
1.0
-4.567 3.322 -4.742
-0.289 -6.163 -4.039
-5.782 -2.315 3.947
Sr Bi Rb
1 1 3
direct
0.000 0.000 0.000
0.500 0.500 0.500
0.000 0.500 0.000
0.000 0.000 0.500
0.500 0.000 0.000
```

Calculated values
Space-group type: Pm-3m, No. 221

***

Entry b
Computed, not measured: a relaxed Rb3SrBi crystal at the GGA-PBE level of DFT.

Geometry as POSCAR:
```
Rb3SrBi
1.0
7.226 0.000 0.000
0.000 7.226 0.000
0.000 0.000 7.226
Sr Bi Rb
1 1 3
direct
0.500 0.500 0.500
0.000 0.000 0.000
0.000 0.500 0.000
0.000 0.000 0.500
0.500 0.000 0.000
```

Calculated values
Space-group type: Pm-3m, No. 221

***

Q: Which of them is the least stable? A: entry a.